a:
## Na3MgTi (GGA-PBE)

Data for an optimized crystal structure of Na3MgTi.

a = 5.926 Å, b = 5.926 Å, c = 5.926 Å
α = 90.00°, β = 90.00°, γ = 90.00°
Space group Pm-3m (No. 221)
Inequivalent atoms, fractional coordinates:
Na: 0.000 0.000 0.500
Mg: 0.500 0.500 0.500
Ti: 0.000 0.000 0.000

Computed properties:
Density of states at the Fermi level: 11.72 states/eV/f.u.
Theoretical density: 1.1 g/cm3

b:
## Na3MgTi (GGA-PBE)

Data for an optimized crystal structure of Na3MgTi.

a = 5.660 Å, b = 5.660 Å, c = 5.660 Å
α = 90.00°, β = 90.00°, γ = 90.00°
Space group Pm-3m (No. 221)
Inequivalent atoms, fractional coordinates:
Na: 0.000 0.000 0.500
Mg: 0.000 0.000 0.000
Ti: 0.500 0.500 0.500

Computed properties:
Density of states at the Fermi level: 9.83 states/eV/f.u.
Theoretical density: 1.3 g/cm3

Decreasing stability: a, b

a:
## Na3MgTl (GGA-PBE)

Data for an optimized crystal structure of Na3MgTl.

a = 3.308 Å, b = 5.805 Å, c = 17.770 Å
α = 90.00°, β = 90.00°, γ = 90.00°
Space group Amm2 (No. 38)
Inequivalent atoms, fractional coordinates:
Na: 0.000 0.000 0.000
Na: 0.500 0.247 0.830
Mg: 0.500 0.000 0.165
Tl: 0.000 0.000 0.655

Computed properties:
Density of states at the Fermi level: 2.08 states/eV/f.u.
Theoretical density: 2.9 g/cm3

b:
## Na3MgTl (GGA-PBE)

Data for an optimized crystal structure of Na3MgTl.

a = 5.895 Å, b = 5.895 Å, c = 5.895 Å
α = 90.00°, β = 90.00°, γ = 90.00°
Space group Pm-3m (No. 221)
Inequivalent atoms, fractional coordinates:
Na: 0.000 0.000 0.500
Mg: 0.500 0.500 0.500
Tl: 0.000 0.000 0.000

Computed properties:
Density of states at the Fermi level: 3.41 states/eV/f.u.
Theoretical density: 2.4 g/cm3

Decreasing stability: a, b

a:
## NaMgTl (GGA-PBE)

Data for an optimized crystal structure of NaMgTl.

a = 7.197 Å, b = 7.197 Å, c = 7.197 Å
α = 90.00°, β = 90.00°, γ = 90.00°
Space group F-43m (No. 216)
Inequivalent atoms, fractional coordinates:
Na: 0.000 0.000 0.000
Mg: 0.000 0.000 0.500
Tl: 0.250 0.250 0.750

Computed properties:
Density of states at the Fermi level: 2.15 states/eV/f.u.
Theoretical density: 4.5 g/cm3

b:
## NaMgTl (GGA-PBE)

Data for an optimized crystal structure of NaMgTl.

a = 3.921 Å, b = 3.921 Å, c = 10.286 Å
α = 90.00°, β = 90.00°, γ = 90.00°
Space group I4mm (No. 107)
Inequivalent atoms, fractional coordinates:
Na: 0.000 0.000 0.000
Mg: 0.000 0.000 0.320
Tl: 0.000 0.000 0.672

Computed properties:
Density of states at the Fermi level: 0.93 states/eV/f.u.
Theoretical density: 5.3 g/cm3

Decreasing stability: b, a